Record 1
A relaxed CdAs2W crystal. Source: the Alexandria database, functional GGA-PBE.

* spin magnetization: 0.0 μB/f.u.
* energy: -5.178 eV per atom
* crystal system: monoclinic

abc: 7.8276 7.4320 2.8064
angles: 90.00 108.72 90.00
With the nearest neighbours (Å) after each atom.
Space group C2/m (No. 12)
Inequivalent atoms, fractional coordinates:
Cd 0.0000 0.0000 0.0000 [2 per cell]  4 As 2.70, 2 Cd 2.81
As 0.2500 0.2500 0.0000 [4 per cell]  2 Cd 2.70, 2 W 2.70, 2 As 2.81
W 0.0000 0.5000 0.0000 [2 per cell]  4 As 2.70, 2 W 2.81

***

Record 2
A relaxed CdAs2W crystal. Source: the Alexandria database, functional GGA-PBE.

* spin magnetization: 0.0 μB/f.u.
* energy: -5.388 eV per atom
* crystal system: orthorhombic

abc: 3.3353 4.7358 10.2516
angles: 90.00 90.00 90.00
With the nearest neighbours (Å) after each atom.
Space group Cmm2 (No. 35)
Inequivalent atoms, fractional coordinates:
Cd 0.0000 0.0000 0.0000 [2 per cell]  4 Cd 2.90, 2 As 2.91, 2 W 2.96
As 0.0000 0.0000 0.5722 [2 per cell]  2 W 2.56
As 0.0000 0.5000 0.2330 [2 per cell]  4 As 2.90, 2 Cd 2.91
W 0.0000 0.5000 0.7612 [2 per cell]  2 As 2.56